# Li3Ac4Co2

A relaxed structure of Li3Ac4Co2 (PBE, Alexandria via LeMat-Bulk).

* ΔE_f: 112 meV per atom

Unit cell a=14.461 b=13.710 c=5.713 alpha=90.00 beta=103.17 gamma=90.00
Space group C2/c (No. 15)
Symmetry-distinct sites (fractional):
Li (0.000, 0.086, 0.250) [4 per cell]
Li (0.082, 0.452, 0.939) [8 per cell]
Ac (0.131, 0.307, 0.450) [8 per cell]
Ac (0.177, 0.099, 0.944) [8 per cell]
Co (0.180, 0.115, 0.447) [8 per cell]